Compound: Zn2ClO
Source: the Alexandria database
Functional: PBE-GGA
Structure: optimized geometry

For the volume, the calculation gives 18.50 A^3/atom. The relative energy among the computed polymorphs is 0.0 meV/atom. The calculation puts the density at 4.089 g/cm3. The uncorrected formation energy is -1.03 eV per atom. Its space group is P1, No. 1.

The structure in CIF format:
```
data_Zn2ClO
_space_group_name_H-M_alt 'P 1'
_space_group_IT_number 1
_space_group_name_Hall 'P 1'
_cell_length_a 3.426
_cell_length_b 6.239
_cell_length_c 7.489
_cell_angle_alpha 105.17
_cell_angle_beta 90.75
_cell_angle_gamma 105.82
loop_
_atom_site_label
_atom_site_fract_x
_atom_site_fract_y
_atom_site_fract_z
Zn1 0.000 0.000 0.000
Zn2 0.085 0.185 0.322
Zn3 0.495 0.990 0.621
Zn4 0.779 0.550 0.644
Cl1 0.271 0.523 0.865
Cl2 0.301 0.622 0.379
O1 0.608 0.222 0.483
O2 0.957 0.909 0.729
```